Entry 1:
An optimized crystal structure of ZrCo2Ni, computed with GGA-PBE.

Magnetization in μB per atom: 0.599
Formation energy in kJ per mole of atoms: 9
Calculated total energy in eV/f.u.: -28.2

a b c (Å): 4.5868 5.0019 2.7786
angles (deg): 77.13 83.11 115.16
Each line ends with the local moment (μB).
Atoms (fractional coordinates):
Ni 0.0000 0.5000 0.5000  0.09
Co 0.5000 0.0000 0.5000  1.28
Zr 0.5000 0.5000 0.0000  -0.14
Co 0.0000 0.0000 0.0000  1.28

=====

Entry 2:
An optimized crystal structure of Zr7Br, computed with GGA-PBE.

Magnetization in μB per atom: 0.000
Calculated total energy in eV/f.u.: -60.7
ΔE_f (raw) in eV/f.u.: 0.8

a b c (Å): 6.3684 6.3684 6.3684
angles (deg): 60.00 60.00 60.00
Atoms (fractional coordinates):
Zr 0.0000 0.5000 0.5000
Zr 0.0000 0.0000 0.5000
Zr 0.5000 0.5000 0.5000
Zr 0.5000 0.5000 0.0000
Zr 0.0000 0.5000 0.0000
Br 0.0000 0.0000 0.0000
Zr 0.5000 0.0000 0.0000
Zr 0.5000 0.0000 0.5000

=====

Entry 3:
An optimized crystal structure of TbPPd3, computed with GGA-PBE.

Magnetization in μB per atom: 0.000
Formation energy in kJ per mole of atoms: -68
Calculated total energy in eV/f.u.: -29.1

a b c (Å): 4.5771 4.5771 4.5771
angles (deg): 90.00 90.00 90.00
Atoms (fractional coordinates):
Pd 0.0000 0.0000 0.5000
Tb 0.5000 0.5000 0.5000
Pd 0.5000 0.0000 0.0000
Pd 0.0000 0.5000 0.0000
P 0.0000 0.0000 0.0000